(1)
Computed, not measured: crystalline Ac4PaRh5 at its relaxed geometry at the GGA-PBE level of DFT.

```
Ac4PaRh5
1.0
-4.272 -2.293 1.179
-1.944 -5.038 -6.285
1.943 -6.987 4.008
Ac Rh Pa
4 5 1
Cartesian
-2.825 -10.719 0.187
-1.553 -6.648 2.159
-1.285 -3.512 -1.330
-2.558 -7.584 -3.302
-2.498 -9.618 2.828
-0.715 -8.413 4.741
-0.945 -9.848 -2.550
-1.335 -4.463 -4.048
-2.888 -4.234 1.330
-0.642 -12.369 -2.100
```

Computed properties:
The calculation puts the formation energy at -0.4879 eV per atom. The calculation puts the energy at -6.757 eV per atom. The calculation puts the density at 8.8 g cm⁻³. The space-group type is I4 (79).

***

(2)
Computed, not measured: crystalline Sm8P4S3 at its relaxed geometry at the GGA-PBE level of DFT.

```
Sm8P4S3
1.0
-4.007 5.127 -4.836
4.104 -6.204 -3.201
-4.101 -5.135 4.732
Sm P S
8 4 3
Cartesian
-3.996 2.313 -4.445
-0.009 -8.524 1.140
2.083 -5.941 -1.247
-2.080 -5.398 2.778
-1.962 -0.244 -1.996
-4.076 -2.835 0.352
0.071 -3.376 -3.657
-2.043 -5.968 -1.309
0.000 0.000 0.000
2.052 -3.102 -1.601
-2.004 2.564 -2.418
-2.051 -2.567 2.366
-2.002 -3.106 -1.653
-4.054 -0.004 -0.052
0.048 -0.538 -4.018
```

Computed properties:
The calculation puts the energy at -6.479 eV per atom. As for the uncorrected formation energy: -25.4 eV per formula unit. The calculation puts the density at 6.3 g cm⁻³. The space-group type is C2/m (12).

***

(3)
Computed, not measured: crystalline HoNbRh2 at its relaxed geometry at the GGA-PBE level of DFT.

```
HoNbRh2
1.0
-1.525 4.125 -1.552
0.351 1.063 -4.528
-3.833 0.223 -2.647
Ho Nb Rh
1 1 2
Cartesian
0.000 0.000 0.000
-2.504 2.706 -4.364
-3.755 4.059 -6.545
-1.252 1.353 -2.182
```

Computed properties:
The calculation puts the formation energy at -0.4712 eV per atom. The calculation puts the energy at -7.809 eV per atom. The calculation puts the density at 10.7 g cm⁻³. The space-group type is Fm-3m (225).

***

(4)
Computed, not measured: crystalline LiHPt at its relaxed geometry at the GGA-PBE level of DFT.

```
LiHPt
1.0
-2.177 -0.088 -2.609
-2.086 -1.984 1.808
-2.596 4.563 2.012
H Li Pt
2 2 2
Cartesian
-1.043 -0.992 0.904
-2.387 2.237 -0.299
-0.649 1.141 0.503
-1.947 3.422 1.509
-2.131 -1.036 -0.401
-3.429 1.245 0.605
```

Computed properties:
The calculation puts the energy at -4.181 eV per atom. The calculation puts the density at 10.4 g cm⁻³. The space-group type is P4_2/mmc (131).

***

(5)
Computed, not measured: crystalline HfCoAg3 at its relaxed geometry at the GGA-PBE level of DFT.

```
HfCoAg3
1.0
-4.079 0.362 2.270
-2.090 -2.506 -3.357
0.955 -3.938 2.345
Co Hf Ag
1 1 3
Cartesian
0.000 0.000 0.000
-2.607 -3.041 0.629
-1.045 -1.253 -1.679
0.478 -1.969 1.172
-2.040 0.181 1.135
```

Computed properties:
The calculation puts the formation energy at 1.0352 eV per atom. The calculation puts the energy at -4.087 eV per atom. The calculation puts the density at 9.1 g cm⁻³. The space-group type is Pm-3m (221).

***

(6)
Computed, not measured: crystalline PdSe2BrF at its relaxed geometry at the GGA-PBE level of DFT.

```
PdSe2BrF
1.0
4.270 0.000 0.000
0.000 4.270 0.000
0.000 0.000 6.326
F Br Se Pd
1 1 2 1
Cartesian
0.000 0.000 0.000
0.000 0.000 3.163
2.135 0.000 0.000
0.000 2.135 0.000
2.135 2.135 3.163
```

Computed properties:
The calculation puts the energy at -2.673 eV per atom. As for the uncorrected formation energy: 2.3 eV per formula unit. The calculation puts the density at 5.2 g cm⁻³. The space-group type is P4/mmm (123).